Entry 1:
Computed, not measured: crystalline KCd4Br at its relaxed geometry at the GGA-PBEsol level of DFT.

a = 6.1669 Å, b = 6.1669 Å, c = 6.1669 Å
α = 60.00°, β = 60.00°, γ = 60.00°
Closest atoms and distances in Å follow each position.
Fractional coordinates of all 6 atoms:
K1 0.0000 0.0000 0.0000  12 Cd 3.62, 4 Br 3.78
Cd1 0.3755 0.3755 0.3755  6 Cd 3.07-3.10
Cd2 0.3755 0.3755 0.8736  6 Cd 3.07-3.10
Cd3 0.3755 0.8736 0.3755  6 Cd 3.07-3.10
Cd4 0.8736 0.3755 0.3755  6 Cd 3.07-3.10
Br1 0.7500 0.7500 0.7500  12 Cd 3.61, 4 K 3.78

- E_form (uncorrected): -0.146 eV per atom

Entry 2:
Computed, not measured: crystalline Te2PtAu at its relaxed geometry at the GGA-PBEsol level of DFT.

a = 6.9058 Å, b = 6.9058 Å, c = 6.9058 Å
α = 33.40°, β = 33.40°, γ = 33.40°
Closest atoms and distances in Å follow each position.
Fractional coordinates of all 4 atoms:
Te1 0.2417 0.2417 0.2417  3 Pt 2.72, 3 Au 2.91
Te2 0.7583 0.7583 0.7583  3 Pt 2.72, 3 Au 2.91
Pt1 0.5000 0.5000 0.5000  6 Te 2.72
Au1 0.0000 0.0000 0.0000  6 Te 2.91

- E_form (uncorrected): -0.168 eV per atom

Entry 3:
Computed, not measured: crystalline Bi3IrCl at its relaxed geometry at the GGA-PBEsol level of DFT.

a = 5.2029 Å, b = 5.2029 Å, c = 5.2029 Å
α = 90.00°, β = 90.00°, γ = 90.00°
Closest atoms and distances in Å follow each position.
Fractional coordinates of all 5 atoms:
Bi1 0.0000 0.0000 0.5000  2 Cl 2.60
Bi2 0.0000 0.5000 0.0000  2 Cl 2.60
Bi3 0.5000 0.0000 0.0000  2 Cl 2.60
Ir1 0.5000 0.5000 0.5000  12 Bi 3.68
Cl1 0.0000 0.0000 0.0000  6 Bi 2.60

- E_form (uncorrected): 1.314 eV per atom

Entry 4:
Computed, not measured: crystalline KVSe2 at its relaxed geometry at the GGA-PBEsol level of DFT.

a = 6.8916 Å, b = 6.8916 Å, c = 5.6608 Å
α = 102.05°, β = 102.05°, γ = 117.77°
Closest atoms and distances in Å follow each position.
Fractional coordinates of all 8 atoms:
K1 0.1446 0.8554 0.7500  8 Se 3.41-3.58
K2 0.8554 0.1446 0.2500  8 Se 3.41-3.58
V1 0.4988 0.5012 0.2500  4 Se 2.35
V2 0.5012 0.4988 0.7500  4 Se 2.35
Se1 0.1830 0.4055 0.8929  2 V 2.35
Se2 0.4055 0.1830 0.3929  2 V 2.35
Se3 0.5945 0.8170 0.6071  2 V 2.35
Se4 0.8170 0.5945 0.1071  2 V 2.35

- E_form (uncorrected): -0.874 eV per atom

Entry 5:
Computed, not measured: crystalline Cs2LiScCl6 at its relaxed geometry at the GGA-PBEsol level of DFT.

a = 7.1778 Å, b = 7.1778 Å, c = 7.1778 Å
α = 60.00°, β = 60.00°, γ = 60.00°
Closest atoms and distances in Å follow each position.
Fractional coordinates of all 10 atoms:
Cs1 0.2500 0.2500 0.2500  12 Cl 3.59
Cs2 0.7500 0.7500 0.7500  12 Cl 3.59
Li1 0.0000 0.0000 0.0000  6 Cl 2.59
Sc1 0.5000 0.5000 0.5000  6 Cl 2.48
Cl1 0.2555 0.2555 0.7445  1 Sc 2.48, 1 Li 2.59
Cl2 0.2555 0.7445 0.2555  1 Sc 2.48, 1 Li 2.59
Cl3 0.2555 0.7445 0.7445  1 Sc 2.48, 1 Li 2.59
Cl4 0.7445 0.2555 0.2555  1 Sc 2.48, 1 Li 2.59
Cl5 0.7445 0.2555 0.7445  1 Sc 2.48, 1 Li 2.59
Cl6 0.7445 0.7445 0.2555  1 Sc 2.48, 1 Li 2.59

- E_form (uncorrected): -2.080 eV per atom

Entry 6:
Computed, not measured: crystalline BeCo2Si at its relaxed geometry at the GGA-PBEsol level of DFT.

a = 3.7507 Å, b = 3.7507 Å, c = 3.7507 Å
α = 60.00°, β = 60.00°, γ = 60.00°
Closest atoms and distances in Å follow each position.
Fractional coordinates of all 4 atoms:
Be1 0.0000 0.0000 0.0000  8 Co 2.30
Co1 0.2500 0.2500 0.2500  4 Si 2.30, 4 Be 2.30
Co2 0.7500 0.7500 0.7500  4 Be 2.30, 4 Si 2.30
Si1 0.5000 0.5000 0.5000  8 Co 2.30

- Offset from the most stable computed form: 0.0 kJ/mol of atoms
- E_form (uncorrected): -0.673 eV per atom